No. 1
A relaxed structure of Nb3V2Rh8, computed with PBE.

Values from the calculation:
The formation energy is -68 meV per atom. For the total magnetization, the calculation gives 0.000 μB per atom. The space-group type is R-3m.

abc: 5.136 5.136 9.585
angles: 74.46 74.46 60.00
Fractional coordinates of all 13 atoms:
Nb 0.000 0.000 0.000
Nb 0.811 0.811 0.566
Nb 0.189 0.189 0.434
V 0.636 0.636 0.092
V 0.364 0.364 0.908
Rh 0.716 0.716 0.851
Rh 0.284 0.284 0.149
Rh 0.228 0.734 0.303
Rh 0.734 0.228 0.303
Rh 0.734 0.734 0.303
Rh 0.266 0.772 0.697
Rh 0.772 0.266 0.697
Rh 0.266 0.266 0.697


No. 2
A relaxed structure of CdSe3, computed with PBE.

Values from the calculation:
The formation energy without anion corrections comes out at 1.2 eV per formula unit. For the total magnetization, the calculation gives 0.000 μB per atom. The space-group type is P4/mmm.

abc: 3.461 3.461 7.098
angles: 90.00 90.00 90.00
Fractional coordinates of all 4 atoms:
Cd 0.000 0.000 0.000
Se 0.500 0.500 0.255
Se 0.000 0.000 0.500
Se 0.500 0.500 0.745


No. 3
A relaxed structure of CaTcGePt2, computed with PBE.

Values from the calculation:
The formation energy is 110 meV per atom. For the total magnetization, the calculation gives 0.000 μB per atom. The space-group type is P4/mmm.

abc: 4.942 4.680 4.942
angles: 90.00 90.00 90.00
Fractional coordinates of all 5 atoms:
Ge 0.000 0.500 0.000
Ca 0.500 0.500 0.500
Tc 0.000 0.000 0.000
Pt 0.000 0.000 0.500
Pt 0.500 0.000 0.000


Copy entry 3 word for word.
A relaxed structure of CaTcGePt2, computed with PBE.

Values from the calculation:
The formation energy is 110 meV per atom. For the total magnetization, the calculation gives 0.000 μB per atom. The space-group type is P4/mmm.

abc: 4.942 4.680 4.942
angles: 90.00 90.00 90.00
Fractional coordinates of all 5 atoms:
Ge 0.000 0.500 0.000
Ca 0.500 0.500 0.500
Tc 0.000 0.000 0.000
Pt 0.000 0.000 0.500
Pt 0.500 0.000 0.000


Copy entry 3 word for word.
A relaxed structure of CaTcGePt2, computed with PBE.

Values from the calculation:
The formation energy is 110 meV per atom. For the total magnetization, the calculation gives 0.000 μB per atom. The space-group type is P4/mmm.

abc: 4.942 4.680 4.942
angles: 90.00 90.00 90.00
Fractional coordinates of all 5 atoms:
Ge 0.000 0.500 0.000
Ca 0.500 0.500 0.500
Tc 0.000 0.000 0.000
Pt 0.000 0.000 0.500
Pt 0.500 0.000 0.000